Record 1
This record from the Alexandria database describes a geometry-optimized Zr2Cd2Cu structure. The functional is PBE.

Cell: 6.9084 6.9084 4.7309 Å, 90.00 90.00 90.00°
Space group P4/mbm (No. 127)
One atom of each set of equivalent atoms:
Zr1 0.1483 0.3517 0.0000
Cd1 0.1558 0.6558 0.5000
Cu1 0.0000 0.0000 0.0000

Summary:
ΔE to the lowest computed polymorph, eV per atom: 0.170
Volume, Å³/atom: 22.58

***

Record 2
This record from the Alexandria database describes a geometry-optimized Y5SnRu4 structure. The functional is PBE.

Cell: 3.4393 3.4393 17.9870 Å, 90.00 90.00 90.00°
Space group P4/mmm (No. 123)
One atom of each set of equivalent atoms:
Y1 0.0000 0.0000 0.0000
Y2 0.0000 0.0000 0.1872
Y3 0.0000 0.0000 0.3745
Sn1 0.5000 0.5000 0.5000
Ru1 0.5000 0.5000 0.0946
Ru2 0.5000 0.5000 0.2858

Summary:
Calculated total energy, eV per cell: -77.30
Volume, Å³/atom: 21.28

***

Record 3
This record from the Alexandria database describes a geometry-optimized BaRhNO2 structure. The functional is PBE.

Cell: 4.5360 4.5360 5.2781 Å, 90.00 90.00 90.00°
Space group P4/mmm (No. 123)
One atom of each set of equivalent atoms:
Ba1 0.0000 0.0000 0.0000
Rh1 0.5000 0.5000 0.5000
N1 0.0000 0.0000 0.5000
O1 0.0000 0.5000 0.0000

Summary:
E_form (uncorrected), eV per formula unit: 7.08
Volume, Å³/atom: 21.72

***

Record 4
This record from the Alexandria database describes a geometry-optimized Mg7CdIn2 structure. The functional is PBE.

Cell: 10.6111 10.6111 10.6111 Å, 90.00 90.00 90.00°
Space group Fm-3m (No. 225)
One atom of each set of equivalent atoms:
Mg1 0.0000 0.0000 0.0000
Mg2 0.0000 0.0000 0.2526
Cd1 0.0000 0.0000 0.5000
In1 0.2500 0.2500 0.2500

Summary:
ΔE to the lowest computed polymorph, eV per atom: 0.388
Volume, Å³/atom: 29.87

***

Record 5
This record from the Alexandria database describes a geometry-optimized ScAlCd4 structure. The functional is PBE.

Cell: 8.1449 8.1449 8.1449 Å, 90.00 90.00 90.00°
Space group F-43m (No. 216)
One atom of each set of equivalent atoms:
Sc1 0.0000 0.0000 0.0000
Al1 0.2500 0.2500 0.7500
Cd1 0.1253 0.1253 0.3747

Summary:
Calculated total energy, eV per cell: -52.76
Volume, Å³/atom: 22.51

***

Record 6
This record from the Alexandria database describes a geometry-optimized TbPr2Dy2Er structure. The functional is PBE.

Cell: 7.0486 5.6747 9.8374 Å, 90.00 90.00 90.00°
Space group Pmma (No. 51)
One atom of each set of equivalent atoms:
Tb1 0.2500 0.0000 0.1581
Pr1 0.0000 0.0000 0.5000
Pr2 0.2500 0.5000 0.6779
Dy1 0.2500 0.0000 0.8326
Dy2 0.2500 0.5000 0.3355
Er1 0.0000 0.5000 0.0000

Summary:
Calculated total energy, eV per cell: -55.14
Volume, Å³/atom: 32.79

***

Record 7
This record from the Alexandria database describes a geometry-optimized Ac3HgIrN structure. The functional is PBE.

Cell: 9.4729 4.3899 9.8111 Å, 90.00 102.18 90.00°
Space group P2_1/m (No. 11)
One atom of each set of equivalent atoms:
Ac1 0.0526 0.2500 0.3429
Ac2 0.3296 0.2500 0.9648
Ac3 0.3724 0.7500 0.6450
Hg1 0.3195 0.7500 0.2697
Ir1 0.1562 0.2500 0.6453
N1 0.4237 0.7500 0.8915

Summary:
E_form (uncorrected), eV per formula unit: -4.30
Volume, Å³/atom: 33.23

***

Record 8
This record from the Alexandria database describes a geometry-optimized PrHoEr5Tm2 structure. The functional is PBE.

Cell: 5.5608 19.6913 10.4617 Å, 90.00 90.00 90.00°
Space group Cmc2_1 (No. 36)
One atom of each set of equivalent atoms:
Pr1 0.0000 0.0838 0.0000
Ho1 0.0000 0.3006 0.5630
Er1 0.0000 0.0220 0.2864
Er2 0.0000 0.1129 0.5731
Er3 0.0000 0.2016 0.2607
Er4 0.0000 0.2195 0.8635
Er5 0.0000 0.4825 0.5751
Tm1 0.0000 0.3870 0.8688
Tm2 0.0000 0.3888 0.2851

Summary:
Calculated total energy, eV per cell: -158.37
Volume, Å³/atom: 31.82

***

Record 9
This record from the Alexandria database describes a geometry-optimized K2CuP4O12 structure. The functional is PBE.

Cell: 10.9172 12.3603 8.3173 Å, 90.00 98.71 90.00°
Space group Cc (No. 9)
One atom of each set of equivalent atoms:
K1 0.0000 0.1292 0.0000
K2 0.3055 0.1375 0.7118
Cu1 0.1381 0.3435 0.3534
P1 0.0188 0.4246 0.9070
P2 0.2574 0.4282 0.7802
P3 0.3197 0.1876 0.1838
P4 0.4763 0.3400 0.0189
O1 0.0053 0.2386 0.3902
O2 0.0357 0.4549 0.4337
O3 0.0716 0.0826 0.5975
O4 0.1330 0.3747 0.8282
O5 0.2434 0.4501 0.2647
O6 0.2501 0.1553 0.0234
O7 0.2511 0.2253 0.3191
O8 0.2927 0.3646 0.6424
O9 0.3559 0.4097 0.9441
O10 0.4041 0.0852 0.2572
O11 0.4263 0.2770 0.1679
O12 0.4968 0.1458 0.5450

Summary:
E_form (uncorrected), eV per formula unit: -38.75
Volume, Å³/atom: 14.60

***

Record 10
This record from the Alexandria database describes a geometry-optimized Na4LiZr3O8 structure. The functional is PBE.

Cell: 6.4476 6.4476 16.5982 Å, 90.00 90.00 120.00°
Space group R-3m (No. 166, hexagonal axes)
One atom of each set of equivalent atoms:
Na1 0.0000 0.0000 0.0000
Na2 0.0000 0.5000 0.0000
Li1 0.0000 0.0000 0.5000
Zr1 0.0000 0.5000 0.5000
O1 0.0000 0.0000 0.2383
O2 0.0174 0.5087 0.7634

Summary:
E_form (uncorrected), eV per formula unit: -39.89
Volume, Å³/atom: 12.45

***

Record 11
This record from the Alexandria database describes a geometry-optimized La8Sb4Te3 structure. The functional is PBE.

Cell: 12.9253 12.9467 9.1392 Å, 90.00 134.84 90.00°
Space group C2/m (No. 12)
One atom of each set of equivalent atoms:
La1 0.0000 0.2476 0.0000
La2 0.0000 0.2514 0.5000
La3 0.2471 0.0000 0.4960
La4 0.2493 0.5000 0.9941
Sb1 0.0000 0.0000 0.0000
Sb2 0.0000 0.5000 0.5000
Sb3 0.2500 0.2500 0.5000
Te1 0.0000 0.5000 0.0000
Te2 0.2500 0.2500 0.0000

Summary:
E_form (uncorrected), eV per formula unit: -19.50
Volume, Å³/atom: 36.15

***

Record 12
This record from the Alexandria database describes a geometry-optimized NdDy2UO8 structure. The functional is PBE.

Cell: 3.9133 5.3378 7.6550 Å, 90.00 90.00 90.00°
Space group Pmmm (No. 47)
One atom of each set of equivalent atoms:
Nd1 0.0000 0.0000 0.0000
Dy1 0.5000 0.5000 0.2596
U1 0.0000 0.0000 0.5000
O1 0.0000 0.2436 0.2773
O2 0.5000 0.2319 0.5000
O3 0.5000 0.2671 0.0000

Summary:
E_form (uncorrected), eV per formula unit: -39.02
Volume, Å³/atom: 13.33

***

Record 13
This record from the Alexandria database describes a geometry-optimized YTm2Pb structure. The functional is PBE.

Cell: 7.6965 7.6965 7.6965 Å, 90.00 90.00 90.00°
Space group F-43m (No. 216)
One atom of each set of equivalent atoms:
Y1 0.0000 0.0000 0.0000
Tm1 0.0000 0.0000 0.5000
Tm2 0.2500 0.2500 0.7500
Pb1 0.2500 0.2500 0.2500

Summary:
ΔE to the lowest computed polymorph, eV per atom: 0.223
Volume, Å³/atom: 28.49

***

Record 14
This record from the Alexandria database describes a geometry-optimized ZrTe2Br5 structure. The functional is PBE.

Cell: 14.5840 11.4486 9.8172 Å, 90.00 129.87 90.00°
Space group C2/m (No. 12)
One atom of each set of equivalent atoms:
Zr1 0.0000 0.1874 0.0000
Te1 0.0000 0.3315 0.5000
Te2 0.0574 0.5000 0.3678
Br1 0.0860 0.1724 0.3340
Br2 0.1497 0.0000 0.0804
Br3 0.1639 0.3287 0.0843

Summary:
E_form (uncorrected), eV per formula unit: -7.28
ΔE to the lowest computed polymorph, eV per atom: 0.000
Volume, Å³/atom: 39.31

***

Record 15
This record from the Alexandria database describes a geometry-optimized SrInRh structure. The functional is PBE.

Cell: 3.5012 3.5012 11.8126 Å, 90.00 90.00 90.00°
Space group I4mm (No. 107)
One atom of each set of equivalent atoms:
Sr1 0.0000 0.0000 0.0000
In1 0.0000 0.0000 0.2832
Rh1 0.0000 0.0000 0.6760

Summary:
Calculated total energy, eV per cell: -25.40
Volume, Å³/atom: 24.13

***

Record 16
This record from the Alexandria database describes a geometry-optimized Ca6PPb2 structure. The functional is PBE.

Cell: 8.5360 8.5360 4.3610 Å, 90.00 90.00 120.00°
Space group P-62m (No. 189)
One atom of each set of equivalent atoms:
Ca1 0.0000 0.4043 0.0000
Ca2 0.0000 0.7561 0.5000
P1 0.0000 0.0000 0.0000
Pb1 0.3333 0.6667 0.5000

Summary:
Calculated total energy, eV per cell: -30.19
Volume, Å³/atom: 30.58